This record from Alexandria via LeMat-Bulk describes a relaxed structure of Na4Sm3AlSe8. The functional is PBE.

The space group is R-3m (No. 166, hexagonal axes) and the conventional cell measures 8.2710, 8.2710 and 21.0626 Å, with angles of 90.00, 90.00 and 120.00 degrees. Symmetry generates all atoms from Na at (0.0000, 0.0000, 0.0000), Na at (0.0000, 0.5000, 0.0000), Sm at (0.0000, 0.5000, 0.5000), Al at (0.0000, 0.0000, 0.5000), Se at (0.0000, 0.0000, 0.2454) and Se at (0.0263, 0.5132, 0.2408).

The calculation puts the uncorrected formation energy at -1.470 eV per atom.